1.
DFT (PBE) results for a relaxed structure of YZrCl2.

Calculated values
Its energy above the most stable polymorph in this dataset is 2.09 eV per formula unit. The calculation puts the total energy at -5.48 eV/atom. Its formation energy (no corrections) is -0.81 eV/atom. As for the symmetry: No. 122.

The structure in extended XYZ format:
```
8
Lattice="-2.018 -4.045 -1.073 4.184 -1.969 -0.448 0.961 -5.204 7.751" Properties=species:S:1:pos:R:3 pbc="T T T"
Cl 2.639 -2.966 1.542
Cl 2.690 -9.199 4.474
Cl -0.533 -4.146 1.192
Cl 1.460 -6.124 5.250
Zr 0.000 0.000 0.000
Zr 0.013 -6.128 2.959
Y 3.114 -5.090 3.271
Y 1.083 -3.007 -0.761
```

---

2.
DFT (PBE) results for a relaxed structure of Sr2Mg5Al5.

Calculated values
The calculation puts the total energy at -2.61 eV/atom. For the calculated formation energy, the calculation gives -0.1036 eV per atom. As for the symmetry: No. 47.

The structure in extended XYZ format:
```
12
Lattice="4.724 0.000 0.000 0.000 5.871 0.000 0.000 0.000 10.312" Properties=species:S:1:pos:R:3 pbc="T T T"
Al 2.362 4.419 2.665
Al 2.362 1.452 2.665
Al 2.362 4.419 7.647
Al 2.362 1.452 7.647
Al 2.362 2.935 5.156
Mg 0.000 2.935 3.452
Mg 0.000 0.000 8.515
Mg 0.000 0.000 1.797
Mg 0.000 2.935 6.859
Mg 2.362 0.000 0.000
Sr 0.000 0.000 5.156
Sr 0.000 2.935 0.000
```

---

3.
DFT (PBE) results for a relaxed structure of Cs4Tl2Sb2Pt.

Calculated values
The calculation puts the total energy at -2.73 eV/atom. Its formation energy (no corrections) is -0.24 eV/atom. As for the symmetry: No. 12.

The structure in extended XYZ format:
```
9
Lattice="-1.903 -6.866 2.097 -2.514 -2.747 -7.302 7.179 -3.661 -1.499" Properties=species:S:1:pos:R:3 pbc="T T T"
Tl -0.073 -8.820 -1.267
Tl 2.835 -4.454 -5.436
Cs 4.191 -4.454 -1.032
Cs -1.650 -3.904 -4.528
Cs -1.429 -8.820 -5.671
Cs 4.412 -9.371 -2.175
Sb 0.375 -2.706 -1.053
Sb 2.386 -10.568 -5.650
Pt -0.951 -3.433 1.049
```

---

4.
DFT (PBE) results for a relaxed structure of Na2SrZn2Se4.

Calculated values
The calculation puts the total energy at -3.40 eV/atom. Its formation energy (no corrections) is -1.09 eV/atom. As for the symmetry: No. 12.

The structure in extended XYZ format:
```
9
Lattice="-2.875 2.584 1.376 -6.067 -5.158 -2.990 4.486 -1.986 6.984" Properties=species:S:1:pos:R:3 pbc="T T T"
Se 0.299 -1.242 2.957
Se -5.867 -2.476 -1.489
Se -4.756 -3.318 2.414
Se 1.410 -2.084 6.860
Sr 0.000 0.000 0.000
Zn -6.250 -3.917 0.415
Zn 1.794 -0.643 4.955
Na -2.805 -3.115 -0.012
Na -1.652 -1.446 5.382
```

---

5.
DFT (PBE) results for a relaxed structure of AlRePO2.

Calculated values
Its energy above the most stable polymorph in this dataset is 0.00 eV per formula unit. The calculation puts the total energy at -7.04 eV/atom. Its formation energy (no corrections) is -0.74 eV/atom. As for the symmetry: No. 123.

The structure in extended XYZ format:
```
5
Lattice="-2.109 -0.903 2.982 -2.260 -2.035 -2.215 3.051 -4.316 0.851" Properties=species:S:1:pos:R:3 pbc="T T T"
O -1.054 -0.452 1.491
O -1.130 -1.017 -1.107
P 1.526 -2.158 0.426
Re 0.000 0.000 0.000
Al -0.659 -3.627 0.809
```

---

6.
DFT (PBE) results for a relaxed structure of YVIN2.

Calculated values
Its energy above the most stable polymorph in this dataset is 0.00 eV per formula unit. The calculation puts the total energy at -6.61 eV/atom. Its formation energy (no corrections) is 0.15 eV/atom. As for the symmetry: No. 123.

The structure in extended XYZ format:
```
5
Lattice="-2.580 -0.393 -3.081 1.313 -3.768 -0.619 -3.620 -1.796 3.260" Properties=species:S:1:pos:R:3 pbc="T T T"
N 0.656 -1.884 -0.309
N -1.290 -0.197 -1.541
Y -2.444 -2.979 -0.220
I -1.810 -0.898 1.630
V 0.000 0.000 0.000
```

---

7.
DFT (PBE) results for a relaxed structure of Bi3RhO7.

Calculated values
The calculation puts the total energy at -5.94 eV/atom. Its formation energy (no corrections) is -1.06 eV/atom. As for the symmetry: No. 20.

The structure in extended XYZ format:
```
22
Lattice="-5.541 -3.301 1.433 4.856 -4.415 -0.763 1.606 0.496 7.351" Properties=species:S:1:pos:R:3 pbc="T T T"
Bi 2.298 -6.053 1.869
Bi -1.365 -1.164 6.207
Bi -1.743 -5.290 6.511
Bi 0.474 -3.455 3.997
Bi -0.356 -4.014 0.349
Bi 2.652 -1.934 1.457
O -1.774 -6.030 1.017
O 1.984 -1.410 3.752
O -1.108 -5.871 4.267
O -0.570 -3.333 6.151
O -0.651 -1.166 3.866
O 2.732 -1.132 6.976
O 5.383 -3.971 4.894
O -1.388 -1.317 0.631
O -1.406 -3.577 2.483
O 2.327 -3.643 5.539
O 2.282 -5.835 7.408
O -4.463 -3.250 3.128
O 1.605 -6.120 4.170
O 1.491 -3.888 1.871
Rh 0.803 0.248 3.676
Rh -0.685 -7.716 0.670
```

---

8.
DFT (PBE) results for a relaxed structure of Ba2AlF.

Calculated values
Its energy above the most stable polymorph in this dataset is 1.43 eV per formula unit. The calculation puts the total energy at -3.28 eV/atom. Its formation energy (no corrections) is -0.91 eV/atom. As for the symmetry: No. 225.

The structure in extended XYZ format:
```
4
Lattice="0.000 4.064 4.064 4.064 0.000 4.064 4.064 4.064 0.000" Properties=species:S:1:pos:R:3 pbc="T T T"
Al 4.064 4.064 4.064
Ba 6.097 6.097 6.097
Ba 2.032 2.032 2.032
F 0.000 0.000 0.000
```